Record 1
# ScPdI2N (GGA-PBE, relaxed)
data_ScPdI2N
_chemical_formula_sum 'Sc1 Pd1 I2 N1'
_cell_length_a 5.8229
_cell_length_b 5.8229
_cell_length_c 3.7370
_cell_angle_alpha 90.00
_cell_angle_beta 90.00
_cell_angle_gamma 90.00
_space_group_name_H-M_alt 'P 1'
_space_group_IT_number 1
loop_
_space_group_symop_operation_xyz
'x,y,z'
loop_
_atom_site_label
_atom_site_fract_x
_atom_site_fract_y
_atom_site_fract_z
I1 0.0000 0.5000 0.0000
Pd1 0.0000 0.0000 0.0000
Sc1 0.5000 0.5000 0.5000
N1 0.0000 0.0000 0.5000
I2 0.5000 0.0000 0.0000
# Electronic total energy ... -4.18 eV per atom
# E above lowest polymorph ... 249 meV per atom



Record 2
# PdSeIN2 (GGA-PBE, relaxed)
data_PdSeIN2
_chemical_formula_sum 'Pd1 Se1 I1 N2'
_cell_length_a 3.8807
_cell_length_b 3.8807
_cell_length_c 6.1870
_cell_angle_alpha 90.00
_cell_angle_beta 90.00
_cell_angle_gamma 90.00
_space_group_name_H-M_alt 'P 1'
_space_group_IT_number 1
loop_
_space_group_symop_operation_xyz
'x,y,z'
loop_
_atom_site_label
_atom_site_fract_x
_atom_site_fract_y
_atom_site_fract_z
Se1 0.0000 0.0000 0.5000
I1 0.0000 0.0000 0.0000
N1 0.0000 0.5000 0.0000
N2 0.5000 0.0000 0.0000
Pd1 0.5000 0.5000 0.5000
# Electronic total energy ... -3.58 eV per atom
# E above lowest polymorph ... 377 meV per atom



Record 3
# PdSeI2N (GGA-PBE, relaxed)
data_PdSeI2N
_chemical_formula_sum 'Pd1 Se1 I2 N1'
_cell_length_a 5.7132
_cell_length_b 5.7132
_cell_length_c 3.7419
_cell_angle_alpha 90.00
_cell_angle_beta 90.00
_cell_angle_gamma 90.00
_space_group_name_H-M_alt 'P 1'
_space_group_IT_number 1
loop_
_space_group_symop_operation_xyz
'x,y,z'
loop_
_atom_site_label
_atom_site_fract_x
_atom_site_fract_y
_atom_site_fract_z
I1 0.5000 0.0000 0.0000
N1 0.0000 0.0000 0.5000
Se1 0.5000 0.5000 0.5000
Pd1 0.0000 0.0000 0.0000
I2 0.0000 0.5000 0.0000
# Electronic total energy ... -3.16 eV per atom
# E above lowest polymorph ... 0 meV per atom



Record 4
# PdSe2IN (GGA-PBE, relaxed)
data_PdSe2IN
_chemical_formula_sum 'Pd1 Se2 I1 N1'
_cell_length_a 5.4662
_cell_length_b 5.4662
_cell_length_c 3.8751
_cell_angle_alpha 90.00
_cell_angle_beta 90.00
_cell_angle_gamma 90.00
_space_group_name_H-M_alt 'P 1'
_space_group_IT_number 1
loop_
_space_group_symop_operation_xyz
'x,y,z'
loop_
_atom_site_label
_atom_site_fract_x
_atom_site_fract_y
_atom_site_fract_z
Se1 0.5000 0.0000 0.0000
I1 0.0000 0.0000 0.0000
N1 0.0000 0.0000 0.5000
Pd1 0.5000 0.5000 0.5000
Se2 0.0000 0.5000 0.0000
# Electronic total energy ... -2.95 eV per atom
# E above lowest polymorph ... 626 meV per atom



What energy relative to the elements, uncorrected values result from the calculations? In sequence: 414, 1793, 864, 1459 meV/atom.